This record from Alexandria via LeMat-Bulk describes a relaxed Co2AgRu crystal. The functional is PBE.

## Properties
Calculated formation energy ... 0.840 eV/atom
Volume ... 238.1 Å³/cell
E_tot ... -5.74 eV per atom
ΔE to the lowest computed polymorph ... 516.6 meV per atom
Theoretical density ... 9.12 g cm⁻³

CIF file:
```
data_Co2AgRu
_chemical_formula_sum 'Co8 Ag4 Ru4'
_cell_length_a 6.6742
_cell_length_b 6.6742
_cell_length_c 5.3445
_cell_angle_alpha 90.00
_cell_angle_beta 90.00
_cell_angle_gamma 90.00
_symmetry_space_group_name_H-M 'I -4 2 d'
_symmetry_Int_Tables_number 122
_symmetry_space_group_name_Hall 'I -4 2bw'
loop_
_atom_site_label
_atom_site_fract_x
_atom_site_fract_y
_atom_site_fract_z
Co1 0.2164 0.7500 0.1250
Ag1 0.0000 0.0000 0.5000
Ru1 0.0000 0.0000 0.0000
```